Entry 1:
VASP calculation (PBE) on an optimized crystal structure of Ti2NbAuO.

formation energy (no corrections) = -1.0815 eV/atom

Cell: 4.137 4.137 4.282 Å, 90.00 90.00 90.00°
Atoms (fractional coordinates):
Ti (0.000, 0.500, 0.000)
Ti (0.500, 0.000, 0.000)
Nb (0.000, 0.000, 0.500)
Au (0.500, 0.500, 0.500)
O (0.000, 0.000, 0.000)

Entry 2:
VASP calculation (PBE) on an optimized crystal structure of La4YN5.

formation energy (no corrections) = -1.3782 eV/atom

Cell: 6.368 6.368 6.368 Å, 100.59 100.59 129.23°
Atoms (fractional coordinates):
La (0.102, 0.702, 0.804)
La (0.298, 0.102, 0.401)
La (0.702, 0.898, 0.599)
La (0.898, 0.298, 0.196)
Y (0.495, 0.495, 0.000)
N (0.073, 0.073, 0.000)
N (0.254, 0.448, 0.614)
N (0.448, 0.835, 0.195)
N (0.640, 0.254, 0.805)
N (0.835, 0.640, 0.386)

- The highest formation energy (no corrections) belongs to which entry?
  Ti2NbAuO